Below is a relaxed structure of BeGaGe2Ru, with properties calculated at the PBE-GGA level.

Cell and atoms, written as POSCAR:
```
BeGaGe2Ru
1.0
4.721 0.000 0.000
0.000 4.721 0.000
0.000 0.000 4.710
Be Ga Ge Ru
1 1 2 1
Direct
0.000 0.000 0.000
0.500 0.500 0.500
0.000 0.500 0.500
0.500 0.000 0.500
0.500 0.500 0.000
```

Results
Energy of formation: 1.30 eV/atom
Crystal system: tetragonal
Volume: 20.996 Å³/atom
DOS at the Fermi energy: 6.12 states/eV per cell


Below is a relaxed structure of Be2GaSnGe, with properties calculated at the PBE-GGA level.

Cell and atoms, written as POSCAR:
```
Be2GaSnGe
1.0
4.225 0.000 0.000
0.000 4.225 0.000
0.000 0.000 5.746
Be Ga Sn Ge
2 1 1 1
Direct
0.000 0.500 0.000
0.500 0.000 0.000
0.000 0.000 0.000
0.000 0.000 0.500
0.500 0.500 0.500
```

Results
Energy of formation: 0.74 eV/atom
Crystal system: tetragonal
Volume: 20.516 Å³/atom
DOS at the Fermi energy: 1.96 states/eV per cell


Below is a relaxed structure of BeTl2GaGe, with properties calculated at the PBE-GGA level.

Cell and atoms, written as POSCAR:
```
BeTl2GaGe
1.0
5.253 0.000 0.000
0.000 5.253 0.000
0.000 0.000 4.334
Be Tl Ga Ge
1 2 1 1
Direct
0.000 0.000 0.000
0.000 0.500 0.000
0.500 0.000 0.000
0.500 0.500 0.500
0.000 0.000 0.500
```

Results
Energy of formation: 0.38 eV/atom
Crystal system: tetragonal
Volume: 23.921 Å³/atom
DOS at the Fermi energy: 2.22 states/eV per cell


Below is a relaxed structure of Be2TlGaGe, with properties calculated at the PBE-GGA level.

Cell and atoms, written as POSCAR:
```
Be2TlGaGe
1.0
4.235 0.000 0.000
0.000 4.235 0.000
0.000 0.000 5.798
Be Tl Ga Ge
2 1 1 1
Direct
0.000 0.500 0.000
0.500 0.000 0.000
0.000 0.000 0.500
0.500 0.500 0.500
0.500 0.500 0.000
```

Results
Energy of formation: 0.61 eV/atom
Crystal system: tetragonal
Volume: 20.798 Å³/atom
DOS at the Fermi energy: 2.15 states/eV per cell


Below is a relaxed structure of Be2GaGeW, with properties calculated at the PBE-GGA level.

Cell and atoms, written as POSCAR:
```
Be2GaGeW
1.0
3.989 0.000 0.000
0.000 3.989 0.000
0.000 0.000 5.203
Be Ga Ge W
2 1 1 1
Direct
0.000 0.500 0.000
0.500 0.000 0.000
0.000 0.000 0.500
0.000 0.000 0.000
0.500 0.500 0.500
```

Results
Energy of formation: 1.35 eV/atom
Crystal system: tetragonal
Volume: 16.562 Å³/atom
DOS at the Fermi energy: 3.47 states/eV per cell


Below is a relaxed structure of ZrBeGaGe2, with properties calculated at the PBE-GGA level.

Cell and atoms, written as POSCAR:
```
ZrBeGaGe2
1.0
4.929 0.000 0.000
0.000 4.929 0.000
0.000 0.000 4.034
Zr Be Ga Ge
1 1 1 2
Direct
0.000 0.000 0.000
0.500 0.500 0.000
0.500 0.500 0.500
0.000 0.500 0.500
0.500 0.000 0.500
```

Results
Energy of formation: 0.59 eV/atom
Crystal system: tetragonal
Volume: 19.596 Å³/atom
DOS at the Fermi energy: 3.93 states/eV per cell


Below is a relaxed structure of Be2GaH, with properties calculated at the PBE-GGA level.

Cell and atoms, written as POSCAR:
```
Be2GaH
1.0
0.000 2.703 2.703
2.703 0.000 2.703
2.703 2.703 0.000
Be Ga H
2 1 1
Direct
0.250 0.250 0.250
0.750 0.750 0.750
0.000 0.000 0.000
0.500 0.500 0.500
```

Results
Crystal system: cubic
Volume: 9.876 Å³/atom
Energy above the lowest structure with this stoichiometry: 379 meV per atom
DOS at the Fermi energy: 1.09 states/eV per cell


Below is a relaxed structure of BeGa2H, with properties calculated at the PBE-GGA level.

Cell and atoms, written as POSCAR:
```
BeGa2H
1.0
0.000 2.892 2.892
2.892 0.000 2.892
2.892 2.892 0.000
Be Ga H
1 2 1
Direct
0.000 0.000 0.000
0.250 0.250 0.250
0.750 0.750 0.750
0.500 0.500 0.500
```

Results
Crystal system: cubic
Volume: 12.091 Å³/atom
Energy above the lowest structure with this stoichiometry: 32 meV per atom
DOS at the Fermi energy: 1.83 states/eV per cell


Below is a relaxed structure of Be2GaH6, with properties calculated at the PBE-GGA level.

Cell and atoms, written as POSCAR:
```
Be2GaH6
1.0
4.083 -4.345 0.000
4.083 4.345 0.000
-1.278 0.000 4.490
Be Ga H
4 2 12
Direct
0.149 0.282 0.255
0.282 0.149 0.755
0.718 0.851 0.245
0.851 0.718 0.745
0.356 0.644 0.750
0.644 0.356 0.250
0.071 0.618 0.804
0.126 0.152 0.479
0.152 0.126 0.979
0.325 0.475 0.355
0.382 0.929 0.696
0.475 0.325 0.855
0.525 0.675 0.145
0.618 0.071 0.304
0.675 0.525 0.645
0.848 0.874 0.021
0.874 0.848 0.521
0.929 0.382 0.196
```

Results
Crystal system: monoclinic
Volume: 8.852 Å³/atom
Energy above the lowest structure with this stoichiometry: 0 meV per atom
DOS at the Fermi energy: 1.45 states/eV per cell


Below is a relaxed structure of BeGa2H, with properties calculated at the PBE-GGA level.

Cell and atoms, written as POSCAR:
```
BeGa2H
1.0
-2.252 2.252 5.616
2.252 -2.252 5.616
2.252 2.252 -5.616
Be Ga H
2 4 2
Direct
0.000 0.000 0.000
0.750 0.250 0.500
0.203 0.625 0.078
0.375 0.453 0.578
0.547 0.125 0.922
0.875 0.797 0.422
0.250 0.750 0.500
0.500 0.500 0.000
```

Results
Crystal system: tetragonal
Volume: 14.242 Å³/atom
Energy above the lowest structure with this stoichiometry: 0 meV per atom
DOS at the Fermi energy: 1.55 states/eV per cell


Below is a relaxed structure of Be2GaH, with properties calculated at the PBE-GGA level.

Cell and atoms, written as POSCAR:
```
Be2GaH
1.0
-2.051 2.051 4.788
2.051 -2.051 4.788
2.051 2.051 -4.788
Be Ga H
4 2 2
Direct
0.000 0.000 0.000
0.000 0.000 0.500
0.000 0.500 0.000
0.500 0.000 0.500
0.375 0.625 0.750
0.625 0.375 0.250
0.125 0.875 0.250
0.875 0.125 0.750
```

Results
Crystal system: tetragonal
Volume: 10.067 Å³/atom
Energy above the lowest structure with this stoichiometry: 0 meV per atom
DOS at the Fermi energy: 1.55 states/eV per cell


Below is a relaxed structure of BeGa3H, with properties calculated at the PBE-GGA level.

Cell and atoms, written as POSCAR:
```
BeGa3H
1.0
4.112 0.000 0.000
0.000 4.112 0.000
0.000 0.000 4.112
Be Ga H
1 3 1
Direct
0.000 0.000 0.000
0.000 0.500 0.500
0.500 0.000 0.500
0.500 0.500 0.000
0.500 0.500 0.500
```

Results
Crystal system: cubic
Volume: 13.908 Å³/atom
Energy above the lowest structure with this stoichiometry: 0 meV per atom
DOS at the Fermi energy: 1.52 states/eV per cell


Q: What is the volume in the first record?
A: 20.996 Å³/atom